CsPrUS4: optimized geometry, GGA-PBE.

Calculated values
M_tot: 8.0 μB/cell
E: -177.05 eV/cell

Unit cell a=8.489 b=9.028 c=12.187 alpha=90.00 beta=90.00 gamma=90.00
Space group Imma (No. 74)
Unique sites:
Cs: 0.000 0.250 0.138 [4 per cell]
Pr: 0.000 0.000 0.500 [4 per cell]
U: 0.250 0.250 0.750 [4 per cell]
S: 0.000 0.060 0.735 [8 per cell]
S: 0.212 0.250 0.530 [8 per cell]

Cs3PrU2S9: optimized geometry, GGA-PBE.

Calculated values
M_tot: 0.2 μB/cell
E: -87.98 eV/cell

Unit cell a=7.5208 b=7.5208 c=9.2477 alpha=90.00 beta=90.00 gamma=120.00
Space group P-3m1 (No. 164)
Unique sites:
Cs: 0.0000 0.0000 0.0000 [1 per cell]
Cs: 0.3333 0.6667 0.6637 [2 per cell]
Pr: 0.0000 0.0000 0.5000 [1 per cell]
U: 0.3333 0.6667 0.1616 [2 per cell]
S: 0.0000 0.5000 0.0000 [3 per cell]
S: 0.1758 0.3515 0.3176 [6 per cell]

CsPrVS4: optimized geometry, GGA-PBE.

Calculated values
M_tot: 2.0 μB/cell
E: -82.14 eV/cell

Unit cell a=6.723 b=6.755 c=9.563 alpha=90.00 beta=107.87 gamma=90.00
Space group P2_1/m (No. 11)
Unique sites:
Cs: 0.228 0.250 0.438 [2 per cell]
Pr: 0.274 0.250 0.955 [2 per cell]
V: 0.275 0.750 0.165 [2 per cell]
S: 0.081 0.750 0.312 [2 per cell]
S: 0.085 0.750 0.933 [2 per cell]
S: 0.500 0.000 0.199 [4 per cell]

Cs3Pr3WS8: optimized geometry, GGA-PBE.

Calculated values
M_tot: 6.0 μB/cell
E: -253.55 eV/cell

Unit cell a=8.1990 b=8.1990 c=24.7586 alpha=90.00 beta=90.00 gamma=120.00
Space group R-3m (No. 166, hexagonal axes)
Unique sites:
Cs: 0.0000 0.5000 0.0000 [9 per cell]
Pr: 0.0000 0.5000 0.5000 [9 per cell]
W: 0.0000 0.0000 0.5000 [3 per cell]
S: 0.0000 0.0000 0.2302 [6 per cell]
S: 0.0392 0.5196 0.2240 [18 per cell]

Cs2PrYS4: optimized geometry, GGA-PBE.

Calculated values
M_tot: 0.0 μB/cell
E: -43.98 eV/cell

Unit cell a=7.275 b=4.200 c=8.446 alpha=90.00 beta=106.68 gamma=90.00
Space group P2/m (No. 10)
Unique sites:
Cs: 0.000 0.000 0.000 [1 per cell]
Cs: 0.500 0.500 0.000 [1 per cell]
Pr: 0.000 0.500 0.500 [1 per cell]
Y: 0.500 0.000 0.500 [1 per cell]
S: 0.238 0.000 0.686 [2 per cell]
S: 0.281 0.500 0.317 [2 per cell]

Cs3Pr2YS6: optimized geometry, GGA-PBE.

Calculated values
M_tot: 0.0 μB/cell
E: -130.17 eV/cell

Unit cell a=7.322 b=12.683 c=8.456 alpha=90.00 beta=106.77 gamma=90.00
Space group C2/m (No. 12)
Unique sites:
Cs: 0.000 0.000 0.000 [2 per cell]
Cs: 0.000 0.332 0.000 [4 per cell]
Pr: 0.000 0.167 0.500 [4 per cell]
Y: 0.000 0.500 0.500 [2 per cell]
S: 0.224 0.338 0.685 [8 per cell]
S: 0.238 0.000 0.686 [4 per cell]

| no. | ΔE_f (raw) (eV/atom) |
| --- | --- |
| 1 | -1.5474 |
| 2 | -1.3947 |
| 3 | -1.4012 |
| 4 | -1.4429 |
| 5 | -1.8149 |
| 6 | -1.8114 |